# 1
Compound: KHfN2F
Source: Alexandria
Functional: PBE
Structure: optimized geometry

abc: 4.1849 4.1849 4.3960
angles: 90.00 90.00 90.00
With the nearest neighbours (Å) after each atom.
Positions (direct):
K1 0.5000 0.5000 0.5000  4 F 2.96, 8 N 3.03
N1 0.0000 0.5000 0.0000  2 Hf 2.09
N2 0.5000 0.0000 0.0000  2 Hf 2.09
Hf1 0.0000 0.0000 0.0000  4 N 2.09, 2 F 2.20
F1 0.0000 0.0000 0.5000  2 Hf 2.20

Computed properties:
Formation energy from raw total energies ... -527 kJ/mol of formula units

# 2
Compound: KHfN2F
Source: Alexandria
Functional: PBE
Structure: optimized geometry

abc: 4.2054 4.2054 4.0951
angles: 90.00 90.00 90.00
With the nearest neighbours (Å) after each atom.
Positions (direct):
K1 0.0000 0.0000 0.0000  2 F 2.05, 4 N 2.10
N1 0.0000 0.5000 0.0000  2 K 2.10
N2 0.5000 0.0000 0.0000  2 K 2.10
Hf1 0.5000 0.5000 0.5000  8 N 2.93, 4 F 2.97
F1 0.0000 0.0000 0.5000  2 K 2.05

Computed properties:
Formation energy from raw total energies ... 579 kJ/mol of formula units

# 3
Compound: KHfNF2
Source: Alexandria
Functional: PBE
Structure: optimized geometry

abc: 4.3164 4.3164 4.1407
angles: 90.00 90.00 90.00
With the nearest neighbours (Å) after each atom.
Positions (direct):
K1 0.5000 0.5000 0.5000  8 F 2.99, 4 N 3.05
N1 0.0000 0.0000 0.5000  2 Hf 2.07
Hf1 0.0000 0.0000 0.0000  2 N 2.07, 4 F 2.16
F1 0.0000 0.5000 0.0000  2 Hf 2.16
F2 0.5000 0.0000 0.0000  2 Hf 2.16

Computed properties:
Formation energy from raw total energies ... -1096 kJ/mol of formula units